1.
Density functional theory data (PBE-GGA) for HfAsC2F after structural relaxation.

Results
energy relative to the elements, uncorrected	1.433	eV per atom
M_tot	0.00	μB per atom
V	12.8	A^3/atom
calculated density	7692	kg/m³

a = 4.035 Å, b = 4.035 Å, c = 3.930 Å
α = 90.00°, β = 90.00°, γ = 90.00°
Space group P4/mmm (No. 123)
One atom of each set of equivalent atoms:
Hf: 0.000 0.000 0.000 [1 per cell]
As: 0.500 0.500 0.000 [1 per cell]
C: 0.000 0.500 0.500 [2 per cell]
F: 0.500 0.500 0.500 [1 per cell]



2.
Density functional theory data (PBE-GGA) for AsIrCF2 after structural relaxation.

Results
energy relative to the elements, uncorrected	0.812	eV per atom
M_tot	0.28	μB per atom
V	13.6	A^3/atom
calculated density	7719	kg/m³

a = 3.856 Å, b = 3.856 Å, c = 4.588 Å
α = 90.00°, β = 90.00°, γ = 90.00°
Space group P4/mmm (No. 123)
One atom of each set of equivalent atoms:
As: 0.000 0.000 0.000 [1 per cell]
Ir: 0.500 0.500 0.500 [1 per cell]
C: 0.000 0.000 0.500 [1 per cell]
F: 0.000 0.500 0.000 [2 per cell]



Which of these has the lowest calculated density? HfAsC2F